a.
The following is a PBE-GGA calculation of a relaxed structure of TbPaGe, from the Alexandria database.

* Fermi-level density of states: 5.4 states/eV/cell

Unit cell a=4.9753 b=4.9753 c=3.4764 alpha=90.00 beta=90.00 gamma=120.00
Fractional positions:
Tb  0.0000  0.0000  0.0000
Pa  0.3333  0.6667  0.5289
Ge  0.6667  0.3333  0.2326

b.
The following is a PBE-GGA calculation of a relaxed structure of TbPaGe, from the Alexandria database.

* Fermi-level density of states: 21.5 states/eV/cell

Unit cell a=6.1935 b=3.8654 c=13.6851 alpha=90.00 beta=90.00 gamma=90.00
Fractional positions:
Tb  0.2392  0.2500  0.0303
Tb  0.2608  0.7500  0.5303
Tb  0.7392  0.2500  0.4697
Tb  0.7608  0.7500  0.9697
Pa  0.1936  0.7500  0.7918
Pa  0.3064  0.2500  0.2918
Pa  0.6936  0.7500  0.7082
Pa  0.8064  0.2500  0.2082
Ge  0.0107  0.2500  0.6454
Ge  0.4893  0.7500  0.1454
Ge  0.5107  0.2500  0.8546
Ge  0.9893  0.7500  0.3546

The computed energies, referenced to the most stable structure and given in meV/atom, are a 183; b 0.

a.
The following is a PBE-GGA calculation of a relaxed structure of TbPaGe2, from the Alexandria database.

* Fermi-level density of states: 3.7 states/eV/cell

Unit cell a=7.2028 b=7.2028 c=7.2028 alpha=131.92 beta=131.92 gamma=70.35
Fractional positions:
Tb  0.3750  0.6250  0.7500
Tb  0.6250  0.3750  0.2500
Pa  0.1250  0.8750  0.2500
Pa  0.8750  0.1250  0.7500
Ge  0.1200  0.3700  0.7500
Ge  0.3700  0.1200  0.2500
Ge  0.6300  0.8800  0.7500
Ge  0.8800  0.6300  0.2500

b.
The following is a PBE-GGA calculation of a relaxed structure of TbPaGe2, from the Alexandria database.

* Fermi-level density of states: 4.6 states/eV/cell

Unit cell a=3.3384 b=3.3384 c=7.9645 alpha=90.00 beta=90.00 gamma=90.00
Fractional positions:
Tb  0.0000  0.0000  0.0000
Pa  0.0000  0.0000  0.5000
Ge  0.5000  0.5000  0.2512
Ge  0.5000  0.5000  0.7488

The computed energies, referenced to the most stable structure and given in meV/atom, are a 0; b 136.

a.
The following is a PBE-GGA calculation of a relaxed structure of PaTc2Ge, from the Alexandria database.

* Fermi-level density of states: 3.3 states/eV/cell

Unit cell a=4.3577 b=4.3577 c=3.6135 alpha=90.00 beta=90.00 gamma=90.00
Fractional positions:
Pa  0.0000  0.0000  0.0000
Tc  0.0000  0.5000  0.5000
Tc  0.5000  0.0000  0.5000
Ge  0.5000  0.5000  0.0000

b.
The following is a PBE-GGA calculation of a relaxed structure of PaTc2Ge, from the Alexandria database.

* Fermi-level density of states: 6.3 states/eV/cell

Unit cell a=4.6186 b=4.6186 c=4.6186 alpha=60.00 beta=60.00 gamma=60.00
Fractional positions:
Pa  0.0000  0.0000  0.0000
Tc  0.2500  0.2500  0.2500
Tc  0.7500  0.7500  0.7500
Ge  0.5000  0.5000  0.5000

The computed energies, referenced to the most stable structure and given in meV/atom, are a 0; b 101.